{
  "formula": "HfAlPd3",
  "functional": "PBE",
  "state": "relaxed",
  "lattice": [[7.278, 0.000, 0.000], [0.000, 6.553, 0.000], [0.000, 0.000, 7.287]],
  "species": ["Hf", "Pd", "Pd", "Pd", "Hf", "Pd", "Al", "Pd", "Al", "Hf", "Al", "Pd", "Pd", "Hf", "Al", "Pd", "Pd", "Pd", "Pd", "Pd"],
  "frac_coords": [[0.339, 0.579, 0.750], [0.150, 0.850, 0.554], [0.350, 0.350, 0.446], [0.386, 0.737, 0.250], [0.161, 0.079, 0.250], [0.886, 0.763, 0.250], [0.500, 0.000, 0.500], [0.350, 0.350, 0.054], [0.500, 0.000, 0.000], [0.839, 0.921, 0.750], [0.000, 0.500, 0.500], [0.150, 0.850, 0.946], [0.614, 0.263, 0.750], [0.661, 0.421, 0.250], [0.000, 0.500, 0.000], [0.850, 0.150, 0.054], [0.650, 0.650, 0.946], [0.850, 0.150, 0.446], [0.650, 0.650, 0.554], [0.114, 0.237, 0.750]],
  "sg": "Pnma (62)",
  "formation_enthalpy_0k_ev_per_atom": -0.6053,
  "relative_energy_mev_per_atom": 0.0
}